## CoCuSbO4 (PBE with a Hubbard U)

Data for CoCuSbO4 after structural relaxation.

Unit cell a=6.045 b=6.302 c=8.915 alpha=90.00 beta=90.00 gamma=90.00
Space group Imma (No. 74)
One atom of each set of equivalent atoms:
Co (0.250, 0.250, 0.250) (multiplicity 4)
Cu (0.000, 0.250, 0.650) (multiplicity 4)
Sb (0.000, 0.000, 0.000) (multiplicity 4)
O (0.000, 0.023, 0.225) (multiplicity 8)
O (0.228, 0.250, 0.001) (multiplicity 8)

Output
size of the total moment: 11.69 μB/cell
E: -162.10 eV/cell